# Be2As

A relaxed Be2As crystal (PBE, Alexandria). Values from VASP.

Values from the calculation:
E above lowest polymorph ... 366 meV/atom

Quantum ESPRESSO input file:
```
&SYSTEM
  ibrav = 0, nat = 6, ntyp = 2
/
ATOMIC_SPECIES
As 74.92 As.upf
Be 9.01 Be.upf
ATOMIC_POSITIONS angstrom
As 1.5782 3.8679 0.9620
Be 0.2691 1.5869 1.6944
Be 0.0000 0.0000 0.0000
Be 1.3091 2.2810 -0.7324
Be -0.8720 4.0192 1.2094
As -1.1411 2.4322 -0.4850
CELL_PARAMETERS angstrom
3.6248 1.3362 -1.8271
-3.7258 1.7901 -1.0848
0.5381 3.1738 3.3889
```

# Be3As

A relaxed Be3As crystal (PBE, Alexandria). Values from VASP.

Values from the calculation:
E above lowest polymorph ... 109 meV/atom

Quantum ESPRESSO input file:
```
&SYSTEM
  ibrav = 0, nat = 4, ntyp = 2
/
ATOMIC_SPECIES
Be 9.01 Be.upf
As 74.92 As.upf
ATOMIC_POSITIONS angstrom
Be -1.7965 1.7352 0.4731
Be -1.7155 -0.7138 1.1498
Be 0.2065 0.2245 2.5237
As 0.0000 0.0000 0.0000
CELL_PARAMETERS angstrom
-3.7185 0.7970 -0.9008
0.2875 -2.2245 3.2005
0.1256 2.6735 1.8469
```

# Be2As3

A relaxed Be2As3 crystal (PBE, Alexandria). Values from VASP.

Values from the calculation:
E above lowest polymorph ... 96 meV/atom

Quantum ESPRESSO input file:
```
&SYSTEM
  ibrav = 0, nat = 5, ntyp = 2
/
ATOMIC_SPECIES
As 74.92 As.upf
Be 9.01 Be.upf
ATOMIC_POSITIONS angstrom
As -2.3597 -3.7801 2.3521
As 0.0000 0.0000 0.0000
Be -2.5759 -4.8355 0.3808
Be -2.0041 -1.0269 1.5685
As -2.2204 -2.0823 -0.4028
CELL_PARAMETERS angstrom
-1.6456 1.1307 3.2262
-2.1099 -0.6081 -3.0940
-0.8245 -6.3850 1.8172
```

# Be3As

A relaxed Be3As crystal (PBE, Alexandria). Values from VASP.

Values from the calculation:
E above lowest polymorph ... 298 meV/atom

Quantum ESPRESSO input file:
```
&SYSTEM
  ibrav = 0, nat = 4, ntyp = 2
/
ATOMIC_SPECIES
Be 9.01 Be.upf
As 74.92 As.upf
ATOMIC_POSITIONS angstrom
Be 1.2436 -1.4854 1.3348
Be 1.2436 1.9931 0.1255
Be -1.8808 0.4641 1.3348
As 0.0000 0.0000 0.0000
CELL_PARAMETERS angstrom
4.3680 0.0436 0.1255
-1.8808 3.9426 0.1255
-1.8808 -3.0145 2.5441
```

# BeAs3

A relaxed BeAs3 crystal (PBE, Alexandria). Values from VASP.

Values from the calculation:
E above lowest polymorph ... 493 meV/atom

Quantum ESPRESSO input file:
```
&SYSTEM
  ibrav = 0, nat = 8, ntyp = 2
/
ATOMIC_SPECIES
As 74.92 As.upf
Be 9.01 Be.upf
ATOMIC_POSITIONS angstrom
As 0.0000 1.2909 2.5818
Be 0.0000 0.0000 0.0000
As 2.5818 0.0000 3.8727
As 3.8727 2.5818 0.0000
As 0.0000 3.8727 2.5818
As 1.2909 2.5818 0.0000
As 2.5818 0.0000 1.2909
Be 2.5818 2.5818 2.5818
CELL_PARAMETERS angstrom
5.1635 0.0000 0.0000
0.0000 5.1635 0.0000
0.0000 0.0000 5.1635
```

# Be3As2

A relaxed Be3As2 crystal (PBE, Alexandria). Values from VASP.

Values from the calculation:
E above lowest polymorph ... 278 meV/atom

Quantum ESPRESSO input file:
```
&SYSTEM
  ibrav = 0, nat = 10, ntyp = 2
/
ATOMIC_SPECIES
Be 9.01 Be.upf
As 74.92 As.upf
ATOMIC_POSITIONS angstrom
Be 1.4256 6.7064 9.0827
As 0.8378 7.8274 12.3202
Be 2.0250 7.3374 14.4288
As 1.4372 5.0187 3.7181
As 0.8378 3.4076 9.0642
Be 0.8679 2.8088 5.3461
Be 2.0250 9.5152 17.6478
Be 0.2685 5.6175 10.6922
Be 1.4256 4.5286 12.3017
As 1.4372 6.2164 17.6663
CELL_PARAMETERS angstrom
0.0000 5.6175 10.6922
1.1988 0.0000 10.6922
1.1988 5.6175 0.0000
```

no.,density (g/cm3),M_tot (Bohr magnetons per cell)
1,4.2,0.0
2,3.7,0.0
3,4.8,0.0
4,3.6,0.0
5,5.6,0.0
6,4.1,0.0